No. 1
! LuInPtAu, optimized geometry, DFT PBE-GGA; values from VASP
&SYSTEM
  ibrav = 0, nat = 4, ntyp = 4
/
ATOMIC_SPECIES
Lu 174.97 Lu.upf
In 114.82 In.upf
Pt 195.08 Pt.upf
Au 196.97 Au.upf
CELL_PARAMETERS angstrom
0.000 3.411 3.411
3.411 0.000 3.411
3.411 3.411 0.000
ATOMIC_POSITIONS angstrom
Lu 0.000 0.000 0.000
In 3.411 3.411 3.411
Pt 5.116 5.116 5.116
Au 1.705 1.705 1.705
! - DFT total energy (eV per atom) = -4.957
! - DFT formation energy (kcal/mol of atoms) = -18.7
! - D(E_F) (states/eV per cell) = 1.8


No. 2
! RbI3Cl, optimized geometry, DFT PBE-GGA; values from VASP
&SYSTEM
  ibrav = 0, nat = 5, ntyp = 3
/
ATOMIC_SPECIES
Rb 85.47 Rb.upf
I 126.90 I.upf
Cl 35.45 Cl.upf
CELL_PARAMETERS angstrom
5.931 0.000 0.000
0.000 5.931 0.000
0.000 0.000 5.931
ATOMIC_POSITIONS angstrom
Rb 0.000 0.000 0.000
I 0.000 2.966 2.966
I 2.966 0.000 2.966
I 2.966 2.966 0.000
Cl 2.966 2.966 2.966
! - DFT total energy (eV per atom) = -1.901
! - E above lowest polymorph (kJ per mole of atoms) = 4.2
! - D(E_F) (states/eV per cell) = 1.8
! - ΔE_f (raw) (eV per atom) = -0.408


No. 3
! CePuNi2P2, optimized geometry, DFT PBE-GGA; values from VASP
&SYSTEM
  ibrav = 0, nat = 6, ntyp = 4
/
ATOMIC_SPECIES
Ce 140.12 Ce.upf
Pu 244.00 Pu.upf
Ni 58.69 Ni.upf
P 30.97 P.upf
CELL_PARAMETERS angstrom
3.932 0.000 0.000
-1.966 3.405 0.000
0.000 0.000 7.846
ATOMIC_POSITIONS angstrom
Ce 0.000 0.000 0.000
Pu 0.000 0.000 3.923
Ni 0.000 2.270 5.907
Ni 1.966 1.135 1.939
P 0.000 2.270 1.992
P 1.966 1.135 5.854
! - DFT total energy (eV per atom) = -8.154
! - DFT formation energy (kcal/mol of atoms) = -24.1
! - D(E_F) (states/eV per cell) = 12.5


No. 4
! Mg2AgMo, optimized geometry, DFT PBE-GGA; values from VASP
&SYSTEM
  ibrav = 0, nat = 4, ntyp = 3
/
ATOMIC_SPECIES
Mg 24.30 Mg.upf
Ag 107.87 Ag.upf
Mo 95.94 Mo.upf
CELL_PARAMETERS angstrom
2.753 0.000 0.000
0.000 4.520 0.000
-1.092 0.000 5.731
ATOMIC_POSITIONS angstrom
Mg 0.273 0.000 1.389
Mg 1.388 0.000 4.342
Ag -0.546 2.260 2.866
Mo 1.377 2.260 0.000
! - DFT total energy (eV per atom) = -3.923
! - DFT formation energy (kcal/mol of atoms) = 6.8
! - E above lowest polymorph (kJ per mole of atoms) = 17.8
! - D(E_F) (states/eV per cell) = 3.1


No. 5
! Rb3CdAg2Cl9, optimized geometry, DFT PBE-GGA; values from VASP
&SYSTEM
  ibrav = 0, nat = 15, ntyp = 4
/
ATOMIC_SPECIES
Rb 85.47 Rb.upf
Cd 112.41 Cd.upf
Ag 107.87 Ag.upf
Cl 35.45 Cl.upf
CELL_PARAMETERS angstrom
7.352 0.000 0.000
-3.676 6.367 0.000
0.000 0.000 9.014
ATOMIC_POSITIONS angstrom
Rb 0.000 0.000 0.000
Rb 0.000 4.245 5.994
Rb 3.676 2.122 3.020
Cd 0.000 0.000 4.507
Ag 0.000 4.245 1.451
Ag 3.676 2.122 7.563
Cl -1.838 3.183 0.000
Cl 0.000 2.131 2.979
Cl -1.830 5.301 2.979
Cl 1.845 1.065 6.035
Cl 3.676 0.000 0.000
Cl 1.838 3.183 0.000
Cl 1.830 5.301 2.979
Cl 5.506 1.065 6.035
Cl 3.676 4.236 6.035
! - DFT total energy (eV per atom) = -2.906
! - D(E_F) (states/eV per cell) = 3.7
! - ΔE_f (raw) (eV per atom) = -1.163


No. 6
! CePmGa2, optimized geometry, DFT PBE-GGA; values from VASP
&SYSTEM
  ibrav = 0, nat = 4, ntyp = 3
/
ATOMIC_SPECIES
Ce 140.12 Ce.upf
Pm 145.00 Pm.upf
Ga 69.72 Ga.upf
CELL_PARAMETERS angstrom
4.150 0.000 0.000
0.000 2.209 5.577
0.000 -2.209 5.577
ATOMIC_POSITIONS angstrom
Ce 0.000 0.000 0.000
Pm 2.075 0.000 3.169
Ga 0.000 0.000 7.963
Ga 2.075 0.000 6.365
! - DFT total energy (eV per atom) = -4.714
! - DFT formation energy (kcal/mol of atoms) = -12.2
! - D(E_F) (states/eV per cell) = 6.4


Q: Among the records above, which one has the highest D(E_F)?
A: CePuNi2P2